CsTaC3 | PBE | relaxed

Space group: Pm-3m, No. 221
Size of the total moment: 0.00 Bohr magnetons per cell
Polymorph energy (0 for the lowest one): 2582.1 meV per atom

Cell: 4.267 4.267 4.267 Å, 90.00 90.00 90.00°
Element x y z (fractional)
1 C 0.500 0.000 0.000
2 Cs 0.000 0.000 0.000
3 Ta 0.500 0.500 0.500
4 C 0.000 0.500 0.000
5 C 0.000 0.000 0.500

=====

CsTa2TcC | PBE | relaxed

Calculated total energy: -0.326 Ry/atom
Space group: P4/mmm, No. 123
Size of the total moment: 0.00 Bohr magnetons per cell

Cell: 5.025 4.774 5.025 Å, 90.00 90.00 90.00°
Element x y z (fractional)
1 Ta 0.000 0.000 0.500
2 Tc 0.000 0.500 0.000
3 Ta 0.500 0.000 0.000
4 C 0.500 0.500 0.500
5 Cs 0.000 0.000 0.000

=====

Number 1: V 15.54 Å³/atom. Number 2: V 24.11 Å³/atom.